1.
First-principles (PBE) data for ZrPRh2 after structural relaxation, as listed in Alexandria via LeMat-Bulk.

Cell: 3.9896 3.9896 8.9381 Å, 77.10 77.10 90.00°
Closest atoms and distances in Å follow each position.
Sites, in units of the cell vectors:
P1 0.5000 0.5000 0.0000  4 Rh 2.50
P2 0.2500 0.7500 0.5000  4 Rh 2.50
Rh1 0.5931 0.1250 0.2500  2 P 2.50, 2 Zr 2.60, 2 Rh 2.65
Rh2 0.1569 0.6250 0.2500  2 P 2.50, 2 Zr 2.60, 2 Rh 2.65
Rh3 0.3750 0.4069 0.7500  2 P 2.50, 2 Zr 2.60, 2 Rh 2.65
Rh4 0.8750 0.8431 0.7500  2 P 2.50, 2 Zr 2.60, 2 Rh 2.65
Zr1 0.0000 0.0000 0.0000  4 Rh 2.60, 4 P 2.82
Zr2 0.7500 0.2500 0.5000  4 Rh 2.60, 4 P 2.82

Values from the calculation:
- Total moment: 0.00 μB per cell
- Energy relative to the elements: -0.518 eV per atom

---

2.
First-principles (PBE) data for PrHg2Pd after structural relaxation, as listed in Alexandria via LeMat-Bulk.

Cell: 5.0188 4.3656 4.3656 Å, 90.00 90.00 90.00°
Closest atoms and distances in Å follow each position.
Sites, in units of the cell vectors:
Pr1 0.5000 0.0000 0.0000  4 Pd 3.09, 8 Hg 3.33
Hg1 0.0000 0.0000 0.5000  4 Hg 3.09, 4 Pr 3.33, 4 Pd 3.33
Hg2 0.0000 0.5000 0.0000  4 Hg 3.09, 4 Pd 3.33, 4 Pr 3.33
Pd1 0.5000 0.5000 0.5000  4 Pr 3.09, 8 Hg 3.33

Values from the calculation:
- Total moment: 0.00 μB per cell
- Energy relative to the elements: -0.380 eV per atom

---

3.
First-principles (PBE) data for Pr2EuHg after structural relaxation, as listed in Alexandria via LeMat-Bulk.

Cell: 5.6255 5.6255 5.6255 Å, 60.00 60.00 60.00°
Closest atoms and distances in Å follow each position.
Sites, in units of the cell vectors:
Eu1 0.5000 0.5000 0.5000  8 Pr 3.44
Pr1 0.2500 0.2500 0.2500  4 Hg 3.44, 4 Eu 3.44
Pr2 0.7500 0.7500 0.7500  4 Hg 3.44, 4 Eu 3.44
Hg1 0.0000 0.0000 0.0000  8 Pr 3.44

Values from the calculation:
- Total moment: 7.14 μB per cell
- Energy above the most stable polymorph in this dataset: 0.099 eV/atom
- Energy relative to the elements: -0.093 eV per atom

---

4.
First-principles (PBE) data for BaCr2Co after structural relaxation, as listed in Alexandria via LeMat-Bulk.

Cell: 5.1179 5.9104 3.1640 Å, 75.79 87.06 114.79°
Closest atoms and distances in Å follow each position.
Sites, in units of the cell vectors:
Ba1 0.0000 0.5000 0.5000  4 Co 2.94-3.08, 4 Cr 2.99, 2 Ba 3.16
Co1 0.5000 0.5000 0.0000  4 Ba 2.94-3.08, 4 Cr 2.99, 2 Co 3.16
Cr1 0.0000 0.0000 0.0000  6 Cr 2.94-3.16, 2 Co 2.99, 2 Ba 2.99
Cr2 0.5000 0.0000 0.5000  6 Cr 2.94-3.16, 2 Ba 2.99, 2 Co 2.99

Values from the calculation:
- Total moment: 9.09 μB per cell
- Energy above the most stable polymorph in this dataset: 0.771 eV/atom
- Energy relative to the elements: 1.321 eV per atom